Entry from Alexandria: a geometry-optimized Y3Ho8Th structure (PBE).

Structure (CIF):
```
data_Y3Ho8Th
_cell_length_a 7.696
_cell_length_b 7.696
_cell_length_c 15.401
_cell_angle_alpha 90.00
_cell_angle_beta 90.00
_cell_angle_gamma 90.00
_symmetry_space_group_name_H-M 'I 4/m m m'
_symmetry_Int_Tables_number 139
_symmetry_space_group_name_Hall '-I 4 2'
loop_
_atom_site_label
_atom_site_type_symbol
_atom_site_fract_x
_atom_site_fract_y
_atom_site_fract_z
Y1 Y 0.000 0.000 0.000
Y2 Y 0.000 0.500 0.250
Ho1 Ho 0.249 0.249 0.376
Th1 Th 0.000 0.000 0.500
```

Results
* N(E_F): 32.423 states/eV/cell
* ΔE_f: 0.791 eV/atom